Record 1
# Ag3MoSe | Alexandria | GGA-PBE | optimized geometry
data_Ag3MoSe
_chemical_formula_sum 'Ag3 Mo1 Se1'
_space_group_name_H-M_alt 'P 1'
_space_group_IT_number 1
_space_group_name_Hall 'P 1'
_cell_length_a 5.088
_cell_length_b 5.088
_cell_length_c 5.088
_cell_angle_alpha 90.00
_cell_angle_beta 90.00
_cell_angle_gamma 90.00
loop_
_atom_site_label
_atom_site_fract_x
_atom_site_fract_y
_atom_site_fract_z
Ag1 0.000 0.500 0.000
Se1 0.500 0.500 0.500
Ag2 0.500 0.000 0.000
Mo1 0.000 0.000 0.000
Ag3 0.000 0.000 0.500
# - SG: Pm-3m
# - Raw formation energy: 1.644 eV per atom
# - Excess energy over the best structure of this formula in the dataset: 50.1 kJ per mole of atoms

---

Record 2
# NaMnAsSe2 | Alexandria | GGA-PBE | optimized geometry
data_NaMnAsSe2
_chemical_formula_sum 'Na1 Mn1 As1 Se2'
_space_group_name_H-M_alt 'P 1'
_space_group_IT_number 1
_space_group_name_Hall 'P 1'
_cell_length_a 4.907
_cell_length_b 4.907
_cell_length_c 4.741
_cell_angle_alpha 90.00
_cell_angle_beta 90.00
_cell_angle_gamma 90.00
loop_
_atom_site_label
_atom_site_fract_x
_atom_site_fract_y
_atom_site_fract_z
Se1 0.500 0.000 0.000
Mn1 0.500 0.500 0.500
As1 0.000 0.000 0.500
Na1 0.000 0.000 0.000
Se2 0.000 0.500 0.000
# - SG: P4/mmm
# - Raw formation energy: 1.469 eV per atom
# - Excess energy over the best structure of this formula in the dataset: 157.6 kJ per mole of atoms

---

Record 3
# AsAuCSe2 | Alexandria | GGA-PBE | optimized geometry
data_AsAuCSe2
_chemical_formula_sum 'As1 Au1 C1 Se2'
_space_group_name_H-M_alt 'P 1'
_space_group_IT_number 1
_space_group_name_Hall 'P 1'
_cell_length_a 4.498
_cell_length_b 4.498
_cell_length_c 4.301
_cell_angle_alpha 90.00
_cell_angle_beta 90.00
_cell_angle_gamma 90.00
loop_
_atom_site_label
_atom_site_fract_x
_atom_site_fract_y
_atom_site_fract_z
Au1 0.500 0.500 0.500
C1 0.000 0.000 0.000
Se1 0.500 0.000 0.000
Se2 0.000 0.500 0.000
As1 0.000 0.000 0.500
# - SG: P4/mmm
# - Raw formation energy: 1.166 eV per atom
# - Excess energy over the best structure of this formula in the dataset: 0.0 kJ per mole of atoms

---

Record 4
# Tm3Si2Pd | Alexandria | GGA-PBE | optimized geometry
data_Tm3Si2Pd
_chemical_formula_sum 'Tm12 Si8 Pd4'
_space_group_name_H-M_alt 'P 1'
_space_group_IT_number 1
_space_group_name_Hall 'P 1'
_cell_length_a 4.200
_cell_length_b 11.096
_cell_length_c 11.301
_cell_angle_alpha 90.00
_cell_angle_beta 90.00
_cell_angle_gamma 90.00
loop_
_atom_site_label
_atom_site_fract_x
_atom_site_fract_y
_atom_site_fract_z
Tm1 0.750 0.563 0.623
Tm2 0.250 0.063 0.877
Tm3 0.750 0.194 0.286
Si1 0.750 0.003 0.688
Pd1 0.750 0.870 0.871
Tm4 0.750 0.306 0.786
Si2 0.250 0.997 0.312
Si3 0.750 0.497 0.188
Pd2 0.250 0.130 0.129
Pd3 0.250 0.370 0.629
Tm5 0.750 0.876 0.447
Tm6 0.750 0.624 0.947
Si4 0.250 0.689 0.486
Si5 0.750 0.189 0.014
Tm7 0.250 0.437 0.377
Tm8 0.750 0.937 0.123
Si6 0.250 0.811 0.986
Tm9 0.250 0.806 0.714
Pd4 0.750 0.630 0.371
Tm10 0.250 0.694 0.214
Tm11 0.250 0.124 0.553
Tm12 0.250 0.376 0.053
Si7 0.250 0.503 0.812
Si8 0.750 0.311 0.514
# - SG: Pnma
# - Raw formation energy: -0.819 eV per atom

---

Record 5
# Ca3Tl6Cd | Alexandria | GGA-PBE | optimized geometry
data_Ca3Tl6Cd
_chemical_formula_sum 'Ca3 Tl6 Cd1'
_space_group_name_H-M_alt 'P 1'
_space_group_IT_number 1
_space_group_name_Hall 'P 1'
_cell_length_a 4.778
_cell_length_b 9.051
_cell_length_c 9.051
_cell_angle_alpha 128.17
_cell_angle_beta 90.00
_cell_angle_gamma 90.00
loop_
_atom_site_label
_atom_site_fract_x
_atom_site_fract_y
_atom_site_fract_z
Tl1 0.066 0.282 0.282
Ca1 0.066 0.337 0.763
Tl2 0.566 0.996 0.684
Tl3 0.566 0.684 0.996
Tl4 0.066 0.818 0.818
Tl5 0.566 0.104 0.416
Ca2 0.566 0.550 0.550
Ca3 0.066 0.763 0.337
Tl6 0.566 0.416 0.104
Cd1 0.566 0.050 0.050
# - SG: Cmmm
# - Energy relative to the elements: -1.71 eV/f.u.

---

Record 6
# Ca3Zn9Cu2 | Alexandria | GGA-PBE | optimized geometry
data_Ca3Zn9Cu2
_chemical_formula_sum 'Ca3 Zn9 Cu2'
_space_group_name_H-M_alt 'P 1'
_space_group_IT_number 1
_space_group_name_Hall 'P 1'
_cell_length_a 4.320
_cell_length_b 8.218
_cell_length_c 8.218
_cell_angle_alpha 68.86
_cell_angle_beta 74.76
_cell_angle_gamma 74.76
loop_
_atom_site_label
_atom_site_fract_x
_atom_site_fract_y
_atom_site_fract_z
Zn1 0.122 0.597 0.160
Zn2 0.000 0.500 0.500
Ca1 0.000 0.000 0.000
Cu1 0.500 0.296 0.704
Zn3 0.122 0.160 0.597
Ca2 0.694 0.306 0.306
Ca3 0.306 0.694 0.694
Zn4 0.668 0.977 0.687
Zn5 0.668 0.687 0.977
Zn6 0.878 0.403 0.840
Zn7 0.878 0.840 0.403
Zn8 0.332 0.023 0.313
Cu2 0.500 0.704 0.296
Zn9 0.332 0.313 0.023
# - SG: Immm
# - Energy relative to the elements: -3.16 eV/f.u.